# 1
# BaLa2Zn

A PBEsol-optimized structure of BaLa2Zn (SCAN, Alexandria via LeMat-Bulk).

Formation energy in eV per atom: 0.10
SG: No. 119

```
BaLa2Zn
1.0
4.911 0.000 0.000
0.000 4.911 0.000
-2.456 -2.456 5.105
Ba La Zn
1 2 1
Cartesian
0.000 2.456 2.552
0.000 0.000 0.000
2.456 0.000 2.552
2.456 2.456 0.000
```

=====

# 2
# BaLaZn2

A PBEsol-optimized structure of BaLaZn2 (SCAN, Alexandria via LeMat-Bulk).

Formation energy in eV per atom: -0.28
SG: No. 123

```
BaLaZn2
1.0
3.843 0.000 0.000
0.000 3.843 0.000
0.000 0.000 7.666
Zn Ba La
2 1 1
Cartesian
0.000 0.000 1.607
0.000 0.000 6.059
1.922 1.922 3.833
1.922 1.922 0.000
```

=====

# 3
# Ba2LaZr

A PBEsol-optimized structure of Ba2LaZr (SCAN, Alexandria via LeMat-Bulk).

Formation energy in eV per atom: 0.59
Energy relative to the lowest polymorph listed for this composition in eV/f.u.: 0.10
SG: No. 123

```
Ba2LaZr
1.0
-0.490 -0.658 5.025
-0.040 -5.047 -0.665
5.528 -0.112 0.524
Ba La Zr
2 1 1
Cartesian
0.000 0.000 0.000
-0.265 -2.852 2.180
2.519 -0.385 2.775
2.744 -2.579 -0.070
```